Below is a relaxed Hf2Al2GaCo5 crystal, with properties calculated at the GGA-PBE level.

* calculated formation energy: -0.307 eV per atom
* space-group type: P4/mbm
* DFT total energy: -6.901 eV/atom
* M_tot: 0.000 μB/f.u.
* N(E_F): 9.805 states/eV/cell

Lattice parameters (Å, degrees): 3.2917 9.1354 9.1354 90.00 90.00 90.00
Fractional positions:
Hf 0.0000 0.8246 0.6754
Co 0.5000 0.0635 0.7960
Al 0.0000 0.1220 0.6220
Al 0.0000 0.3780 0.1220
Co 0.5000 0.5635 0.7040
Co 0.5000 0.4365 0.2960
Co 0.5000 0.9365 0.2040
Co 0.5000 0.2040 0.0635
Al 0.0000 0.8780 0.3780
Co 0.5000 0.7040 0.4365
Al 0.0000 0.6220 0.8780
Co 0.5000 0.2960 0.5635
Hf 0.0000 0.3246 0.8246
Co 0.5000 0.5000 0.0000
Co 0.5000 0.0000 0.5000
Hf 0.0000 0.6754 0.1754
Ga 0.0000 0.5000 0.5000
Hf 0.0000 0.1754 0.3246
Co 0.5000 0.7960 0.9365
Ga 0.0000 0.0000 0.0000